(1)
This record from the Alexandria database describes ZnIn3 after structural relaxation. The functional is PBE.

Summary:
- ΔE_f (meV/atom) = 76

a = 11.154 Å, b = 3.340 Å, c = 5.575 Å
α = 90.00°, β = 109.68°, γ = 90.00°
Space group C2/m (No. 12)
Unique sites:
Zn: 0.000 0.000 0.000 [2 per cell]
In: 0.000 0.500 0.500 [2 per cell]
In: 0.227 0.500 0.231 [4 per cell]

(2)
This record from the Alexandria database describes TmHf2W after structural relaxation. The functional is PBE.

Summary:
- ΔE_f (meV/atom) = 142

a = 3.424 Å, b = 3.424 Å, c = 7.608 Å
α = 90.00°, β = 90.00°, γ = 90.00°
Space group P4/mmm (No. 123)
Unique sites:
Tm: 0.000 0.000 0.000 [1 per cell]
Hf: 0.500 0.500 0.301 [2 per cell]
W: 0.000 0.000 0.500 [1 per cell]

(3)
This record from the Alexandria database describes BaI3O after structural relaxation. The functional is PBE.

Summary:
- energy above the lowest structure with this stoichiometry (meV per atom) = 0
- energy relative to the elements, uncorrected (meV per atom) = -675

a = 5.364 Å, b = 5.364 Å, c = 5.364 Å
α = 90.00°, β = 90.00°, γ = 90.00°
Space group Pm-3m (No. 221)
Unique sites:
Ba: 0.000 0.000 0.000 [1 per cell]
I: 0.000 0.500 0.500 [3 per cell]
O: 0.500 0.500 0.500 [1 per cell]

(4)
This record from the Alexandria database describes Pr2DyPd after structural relaxation. The functional is PBE.

Summary:
- energy above the lowest structure with this stoichiometry (meV per atom) = 0
- ΔE_f (meV/atom) = -374

a = 5.133 Å, b = 5.150 Å, c = 8.830 Å
α = 90.00°, β = 90.00°, γ = 90.00°
Space group Cmm2 (No. 35)
Unique sites:
Pr: 0.000 0.000 0.000 [2 per cell]
Pr: 0.000 0.500 0.308 [2 per cell]
Dy: 0.000 0.500 0.697 [2 per cell]
Pd: 0.000 0.000 0.529 [2 per cell]

(5)
This record from the Alexandria database describes Tb4SbC after structural relaxation. The functional is PBE.

Summary:
- energy relative to the elements, uncorrected (meV per atom) = -413

a = 14.593 Å, b = 6.070 Å, c = 7.201 Å
α = 90.00°, β = 106.52°, γ = 90.00°
Space group C2/c (No. 15)
Unique sites:
Tb: 0.097 0.086 0.446 [8 per cell]
Tb: 0.187 0.435 0.174 [8 per cell]
Sb: 0.000 0.373 0.750 [4 per cell]
C: 0.250 0.250 0.500 [4 per cell]

(6)
This record from the Alexandria database describes Pm2NpMoN5 after structural relaxation. The functional is PBE.

Summary:
- energy relative to the elements, uncorrected (meV per atom) = -1080

a = 3.501 Å, b = 13.786 Å, c = 10.458 Å
α = 90.00°, β = 90.00°, γ = 90.00°
Space group Cmc2_1 (No. 36)
Unique sites:
Pm: 0.000 0.107 0.000 [4 per cell]
Pm: 0.000 0.141 0.623 [4 per cell]
Np: 0.000 0.208 0.330 [4 per cell]
Mo: 0.000 0.475 0.776 [4 per cell]
N: 0.000 0.042 0.361 [4 per cell]
N: 0.000 0.283 0.967 [4 per cell]
N: 0.000 0.318 0.703 [4 per cell]
N: 0.000 0.368 0.319 [4 per cell]
N: 0.000 0.491 0.103 [4 per cell]

(7)
This record from the Alexandria database describes Cs3GeW after structural relaxation. The functional is PBE.

Summary:
- energy above the lowest structure with this stoichiometry (meV per atom) = 0
- ΔE_f (meV/atom) = 1492

a = 6.967 Å, b = 6.967 Å, c = 6.967 Å
α = 90.00°, β = 90.00°, γ = 90.00°
Space group Pm-3m (No. 221)
Unique sites:
Cs: 0.000 0.000 0.500 [3 per cell]
Ge: 0.000 0.000 0.000 [1 per cell]
W: 0.500 0.500 0.500 [1 per cell]

(8)
This record from the Alexandria database describes RbTe2S3 after structural relaxation. The functional is PBE.

Summary:
- energy relative to the elements, uncorrected (meV per atom) = -253

a = 11.880 Å, b = 11.555 Å, c = 7.458 Å
α = 90.00°, β = 90.00°, γ = 90.00°
Space group Cmcm (No. 63)
Unique sites:
Rb: 0.000 0.212 0.250 [4 per cell]
Te: 0.172 0.500 0.000 [8 per cell]
S: 0.000 0.499 0.750 [4 per cell]
S: 0.181 0.010 0.750 [8 per cell]

(9)
This record from the Alexandria database describes EuCoH3 after structural relaxation. The functional is PBE.

a = 3.593 Å, b = 3.593 Å, c = 3.593 Å
α = 90.00°, β = 90.00°, γ = 90.00°
Space group Pm-3m (No. 221)
Unique sites:
Eu: 0.000 0.000 0.000 [1 per cell]
Co: 0.500 0.500 0.500 [1 per cell]
H: 0.000 0.500 0.500 [3 per cell]

(10)
This record from the Alexandria database describes Rb2Bi3S6 after structural relaxation. The functional is PBE.

Summary:
- energy relative to the elements, uncorrected (meV per atom) = -594

a = 7.050 Å, b = 12.211 Å, c = 8.382 Å
α = 90.00°, β = 106.28°, γ = 90.00°
Space group C2/m (No. 12)
Unique sites:
Rb: 0.000 0.167 0.000 [4 per cell]
Bi: 0.000 0.000 0.500 [2 per cell]
Bi: 0.000 0.333 0.500 [4 per cell]
S: 0.231 0.168 0.696 [8 per cell]
S: 0.235 0.500 0.697 [4 per cell]

(11)
This record from the Alexandria database describes Ca2InCo after structural relaxation. The functional is PBE.

Summary:
- ΔE_f (meV/atom) = 21

a = 11.835 Å, b = 3.581 Å, c = 5.239 Å
α = 90.00°, β = 116.24°, γ = 90.00°
Space group Cm (No. 8)
Unique sites:
Ca: 0.000 0.000 0.000 [2 per cell]
Ca: 0.198 0.000 0.698 [2 per cell]
In: 0.409 0.000 0.409 [2 per cell]
Co: 0.231 0.500 0.230 [2 per cell]

(12)
This record from the Alexandria database describes MgCu6Si2 after structural relaxation. The functional is PBE.

Summary:
- energy above the lowest structure with this stoichiometry (meV per atom) = 62
- energy relative to the elements, uncorrected (meV per atom) = 25

a = 6.202 Å, b = 5.645 Å, c = 7.852 Å
α = 90.00°, β = 112.28°, γ = 90.00°
Space group P2_1/c (No. 14)
Unique sites:
Mg: 0.000 0.000 0.000 [2 per cell]
Cu: 0.156 0.051 0.435 [4 per cell]
Cu: 0.424 0.700 0.469 [4 per cell]
Cu: 0.440 0.030 0.268 [4 per cell]
Si: 0.214 0.112 0.756 [4 per cell]

(13)
This record from the Alexandria database describes SmGeAu2 after structural relaxation. The functional is PBE.

Summary:
- ΔE_f (meV/atom) = -544

a = 4.6389 Å, b = 4.6389 Å, c = 9.8020 Å
α = 90.00°, β = 90.00°, γ = 120.00°
Space group P-3m1 (No. 164)
Unique sites:
Sm: 0.0000 0.0000 0.1888 [2 per cell]
Ge: 0.3333 0.6667 0.6312 [2 per cell]
Au: 0.3333 0.6667 0.0083 [2 per cell]
Au: 0.3333 0.6667 0.3558 [2 per cell]

(14)
This record from the Alexandria database describes Ac2PuGe7 after structural relaxation. The functional is PBE.

Summary:
- ΔE_f (meV/atom) = -340

a = 4.532 Å, b = 4.532 Å, c = 11.866 Å
α = 90.00°, β = 90.00°, γ = 90.00°
Space group P-4m2 (No. 115)
Unique sites:
Ac: 0.000 0.500 0.232 [2 per cell]
Pu: 0.000 0.000 0.500 [1 per cell]
Ge: 0.000 0.000 0.000 [1 per cell]
Ge: 0.000 0.500 0.665 [2 per cell]
Ge: 0.000 0.500 0.885 [2 per cell]
Ge: 0.500 0.500 0.000 [1 per cell]
Ge: 0.500 0.500 0.500 [1 per cell]

(15)
This record from the Alexandria database describes Hf2BeP after structural relaxation. The functional is PBE.

Summary:
- energy above the lowest structure with this stoichiometry (meV per atom) = 651
- ΔE_f (meV/atom) = -244

a = 6.367 Å, b = 6.367 Å, c = 6.367 Å
α = 90.00°, β = 90.00°, γ = 90.00°
Space group Fm-3m (No. 225)
Unique sites:
Hf: 0.250 0.250 0.250 [8 per cell]
Be: 0.000 0.000 0.000 [4 per cell]
P: 0.000 0.000 0.500 [4 per cell]

(16)
This record from the Alexandria database describes Cs2SmH4 after structural relaxation. The functional is PBE.

a = 4.554 Å, b = 4.554 Å, c = 16.005 Å
α = 90.00°, β = 90.00°, γ = 90.00°
Space group I4/mmm (No. 139)
Unique sites:
Cs: 0.000 0.000 0.156 [4 per cell]
Sm: 0.000 0.000 0.500 [2 per cell]
H: 0.000 0.000 0.355 [4 per cell]
H: 0.000 0.500 0.000 [4 per cell]

(17)
This record from the Alexandria database describes NaErPbI6 after structural relaxation. The functional is PBE.

Summary:
- energy relative to the elements, uncorrected (meV per atom) = -1096

a = 7.9376 Å, b = 7.9376 Å, c = 14.4038 Å
α = 90.00°, β = 90.00°, γ = 120.00°
Space group P-31c (No. 163)
Unique sites:
Na: 0.0000 0.0000 0.0000 [2 per cell]
Er: 0.3333 0.6667 0.2500 [2 per cell]
Pb: 0.3333 0.6667 0.7500 [2 per cell]
I: 0.0222 0.3597 0.1273 [12 per cell]

(18)
This record from the Alexandria database describes MgPa2VN5 after structural relaxation. The functional is PBE.

Summary:
- energy relative to the elements, uncorrected (meV per atom) = -1199

a = 3.375 Å, b = 13.713 Å, c = 9.356 Å
α = 90.00°, β = 90.00°, γ = 90.00°
Space group Cmc2_1 (No. 36)
Unique sites:
Mg: 0.000 0.017 0.000 [4 per cell]
Pa: 0.000 0.369 0.216 [4 per cell]
Pa: 0.000 0.369 0.789 [4 per cell]
V: 0.000 0.285 0.505 [4 per cell]
N: 0.000 0.001 0.770 [4 per cell]
N: 0.000 0.138 0.512 [4 per cell]
N: 0.000 0.208 0.865 [4 per cell]
N: 0.000 0.215 0.162 [4 per cell]
N: 0.000 0.416 0.542 [4 per cell]

(19)
This record from the Alexandria database describes CsKAg2F5 after structural relaxation. The functional is PBE.

Summary:
- energy relative to the elements, uncorrected (meV per atom) = -1883

a = 4.447 Å, b = 4.447 Å, c = 8.571 Å
α = 90.00°, β = 90.00°, γ = 90.00°
Space group P4/mmm (No. 123)
Unique sites:
Cs: 0.000 0.000 0.000 [1 per cell]
K: 0.000 0.000 0.500 [1 per cell]
Ag: 0.500 0.500 0.281 [2 per cell]
F: 0.000 0.500 0.306 [4 per cell]
F: 0.500 0.500 0.000 [1 per cell]

(20)
This record from the Alexandria database describes KZnIO2 after structural relaxation. The functional is PBE.

Summary:
- energy above the lowest structure with this stoichiometry (meV per atom) = 844
- energy relative to the elements, uncorrected (meV per atom) = 489

a = 4.657 Å, b = 4.657 Å, c = 7.281 Å
α = 90.00°, β = 90.00°, γ = 90.00°
Space group P4/mmm (No. 123)
Unique sites:
K: 0.000 0.000 0.000 [1 per cell]
Zn: 0.500 0.500 0.500 [1 per cell]
I: 0.000 0.000 0.500 [1 per cell]
O: 0.000 0.500 0.000 [2 per cell]

Looking at total energy for the records above, in order, we have -18.37 -36.76 -14.91 -41.70 -137.37 -338.47 -12.67 -84.60 -29.35 -89.75 -27.53 -73.58 -36.13 -58.27 -120.08 -42.75 -57.51 -328.48 -33.96 -11.40 eV per cell.
Looking at calculated volume for the records above, in order, we have 196 89 154 233 612 505 338 1024 46 693 199 254 183 244 258 332 786 433 169 158 Å³/cell.